Density functional theory data (SCAN) for a crystal of CrRh5 relaxed with PBEsol.

## Properties
symmetry: Cm, No. 8
spin magnetization: 0.88 μB per formula unit
formation energy from the elements: -44.2 kJ/mol of formula units

```
6
Lattice="4.8512 -1.3329 0.0000 4.8512 1.3329 0.0000 -1.5384 0.0000 6.0677" Properties=species:S:1:pos:R:3 pbc="T T T"
Cr 0.0000 0.0000 0.0000
Rh -0.4157 0.0000 3.7442
Rh 2.2360 0.0000 4.1444
Rh 3.3870 0.0000 1.6537
Rh 5.9335 0.0000 2.0034
Rh 5.4989 0.0000 5.7644
```